Ta3Mn | SCAN | single point on PBEsol structure

Cell lengths 3.1159, 3.1159, 6.5045 Å; angles 90.00, 90.00, 90.00 degrees
Fractional coordinates of all 4 atoms:
Ta  0.0000  0.0000  0.0000
Ta  0.5000  0.5000  0.2704
Ta  0.5000  0.5000  0.7296
Mn  0.0000  0.0000  0.5000

Results
symmetry	P4/mmm
energy	-54.60	eV per atom
energy relative to the elements	-9.6	kJ/mol of atoms
DOS at the Fermi energy	2.58	states/eV/f.u.
volume	63.15	Å³/f.u.
magnetization	0.00	μB per formula unit



Ta5Mn | SCAN | single point on PBEsol structure

Cell lengths 3.1654, 3.1654, 9.8260 Å; angles 90.00, 90.00, 90.00 degrees
Fractional coordinates of all 6 atoms:
Ta  0.0000  0.0000  0.0000
Ta  0.0000  0.0000  0.3497
Ta  0.0000  0.0000  0.6503
Ta  0.5000  0.5000  0.1722
Ta  0.5000  0.5000  0.8278
Mn  0.5000  0.5000  0.5000

Results
symmetry	P4/mmm
energy	-58.58	eV per atom
energy relative to the elements	-5.3	kJ/mol of atoms
DOS at the Fermi energy	5.55	states/eV/f.u.
volume	98.46	Å³/f.u.
energy above the most stable polymorph in this dataset	0.0	meV/atom
magnetization	0.00	μB per formula unit